No. 1
{"formula": "K3TlCl", "functional": "GGA-PBE", "state": "relaxed", "lattice": [[6.0960, 0.0000, 0.0000], [0.0000, 6.0960, 0.0000], [0.0000, 0.0000, 6.0960]], "species": ["K", "K", "K", "Tl", "Cl"], "fractional_positions": [[0.0000, 0.0000, 0.5000], [0.0000, 0.5000, 0.0000], [0.5000, 0.0000, 0.0000], [0.5000, 0.5000, 0.5000], [0.0000, 0.0000, 0.0000]]}



No. 2
{"formula": "K2TlCl2", "functional": "GGA-PBE", "state": "relaxed", "lattice": [[9.2798, 0.0000, 0.0000], [0.0000, 9.2798, 0.0000], [0.0000, 0.0000, 3.6773]], "species": ["K", "K", "K", "K", "Tl", "Tl", "Cl", "Cl", "Cl", "Cl"], "fractional_positions": [[0.1415, 0.3585, 0.0000], [0.3585, 0.8585, 0.0000], [0.6415, 0.1415, 0.0000], [0.8585, 0.6415, 0.0000], [0.0000, 0.0000, 0.0000], [0.5000, 0.5000, 0.0000], [0.1503, 0.6503, 0.5000], [0.3497, 0.1503, 0.5000], [0.6503, 0.8497, 0.5000], [0.8497, 0.3497, 0.5000]]}



No. 3
{"formula": "K2Tl2Cl", "functional": "GGA-PBE", "state": "relaxed", "lattice": [[8.0678, 0.0000, 0.0000], [0.0000, 8.0678, 0.0000], [0.0000, 0.0000, 6.4759]], "species": ["K", "K", "K", "K", "Tl", "Tl", "Tl", "Tl", "Cl", "Cl"], "fractional_positions": [[0.1813, 0.3187, 0.0000], [0.3187, 0.8187, 0.0000], [0.6813, 0.1813, 0.0000], [0.8187, 0.6813, 0.0000], [0.1346, 0.6346, 0.5000], [0.3654, 0.1346, 0.5000], [0.6346, 0.8654, 0.5000], [0.8654, 0.3654, 0.5000], [0.0000, 0.0000, 0.0000], [0.5000, 0.5000, 0.0000]]}



No. 4
{"formula": "KTlCl3", "functional": "GGA-PBE", "state": "relaxed", "lattice": [[0.0000, 5.5958, 5.5958], [5.5958, 0.0000, 5.5958], [5.5958, 5.5958, 0.0000]], "species": ["K", "K", "Tl", "Tl", "Cl", "Cl", "Cl", "Cl", "Cl", "Cl"], "fractional_positions": [[0.2500, 0.2500, 0.2500], [0.7500, 0.7500, 0.7500], [0.0000, 0.0000, 0.0000], [0.5000, 0.5000, 0.5000], [0.2349, 0.2349, 0.7651], [0.2349, 0.7651, 0.2349], [0.2349, 0.7651, 0.7651], [0.7651, 0.2349, 0.2349], [0.7651, 0.2349, 0.7651], [0.7651, 0.7651, 0.2349]]}



No. 5
{"formula": "K2TlCl3", "functional": "GGA-PBE", "state": "relaxed", "lattice": [[3.8420, 2.2182, 7.7842], [-3.8420, 2.2182, 7.7842], [0.0000, -4.4364, 7.7842]], "species": ["K", "K", "K", "K", "Tl", "Tl", "Cl", "Cl", "Cl", "Cl", "Cl", "Cl"], "fractional_positions": [[0.1650, 0.1650, 0.1650], [0.3350, 0.3350, 0.3350], [0.6650, 0.6650, 0.6650], [0.8350, 0.8350, 0.8350], [0.0000, 0.0000, 0.0000], [0.5000, 0.5000, 0.5000], [0.0769, 0.7500, 0.4231], [0.2500, 0.5769, 0.9231], [0.4231, 0.0769, 0.7500], [0.5769, 0.9231, 0.2500], [0.7500, 0.4231, 0.0769], [0.9231, 0.2500, 0.5769]]}



No. 6
{"formula": "K2TmTlCl6", "functional": "GGA-PBE", "state": "relaxed", "lattice": [[3.8511, 2.2234, 6.6637], [-3.8511, 2.2234, 6.6637], [0.0000, -4.4469, 6.6637]], "species": ["K", "K", "Tm", "Tl", "Cl", "Cl", "Cl", "Cl", "Cl", "Cl"], "fractional_positions": [[0.0000, 0.0000, 0.0000], [0.4884, 0.4884, 0.4884], [0.6973, 0.6973, 0.6973], [0.2088, 0.2088, 0.2088], [0.0313, 0.4629, 0.8075], [0.3566, 0.8941, 0.5963], [0.4629, 0.8075, 0.0313], [0.5963, 0.3566, 0.8941], [0.8075, 0.0313, 0.4629], [0.8941, 0.5963, 0.3566]]}



No. 7
{"formula": "KTmTlCl6", "functional": "GGA-PBE", "state": "relaxed", "lattice": [[7.1955, 0.0000, 0.0000], [-3.5978, 6.2315, 0.0000], [0.0000, 0.0000, 13.5172]], "species": ["K", "K", "Tm", "Tm", "Tl", "Tl", "Cl", "Cl", "Cl", "Cl", "Cl", "Cl", "Cl", "Cl", "Cl", "Cl", "Cl", "Cl"], "fractional_positions": [[0.0000, 0.0000, 0.0000], [0.0000, 0.0000, 0.5000], [0.3333, 0.6667, 0.2500], [0.6667, 0.3333, 0.7500], [0.3333, 0.6667, 0.7500], [0.6667, 0.3333, 0.2500], [0.0270, 0.3831, 0.1366], [0.0270, 0.6439, 0.3634], [0.3561, 0.3831, 0.3634], [0.3561, 0.9730, 0.1366], [0.3831, 0.0270, 0.6366], [0.3831, 0.3561, 0.8634], [0.6169, 0.6439, 0.1366], [0.6169, 0.9730, 0.3634], [0.6439, 0.0270, 0.8634], [0.6439, 0.6169, 0.6366], [0.9730, 0.3561, 0.6366], [0.9730, 0.6169, 0.8634]]}



No. 8
{"formula": "K2UTlCl8", "functional": "GGA-PBE", "state": "relaxed", "lattice": [[6.9040, 0.0000, 0.0000], [0.0000, 9.6837, 0.0000], [-0.2423, 0.0000, 7.0881]], "species": ["K", "K", "U", "Tl", "Cl", "Cl", "Cl", "Cl", "Cl", "Cl", "Cl", "Cl"], "fractional_positions": [[0.0000, 0.2327, 0.0000], [0.0000, 0.7673, 0.0000], [0.5000, 0.5000, 0.5000], [0.5000, 0.0000, 0.5000], [0.2078, 0.0000, 0.1906], [0.2568, 0.5000, 0.2192], [0.3046, 0.3128, 0.6571], [0.3046, 0.6872, 0.6571], [0.6954, 0.3128, 0.3429], [0.6954, 0.6872, 0.3429], [0.7432, 0.5000, 0.7808], [0.7922, 0.0000, 0.8094]]}



| no. | raw formation energy (eV per atom) |
| --- | --- |
| 1 | -0.692 |
| 2 | -1.190 |
| 3 | -0.525 |
| 4 | -1.222 |
| 5 | -1.623 |
| 6 | -1.937 |
| 7 | -1.691 |
| 8 | -1.618 |